## NaScAgGe (PBE-GGA)

Data for a relaxed structure of NaScAgGe.

Cell lengths 4.8270, 4.8270, 4.8270 Å; angles 60.00, 60.00, 60.00 degrees
Closest atoms and distances in Å follow each position.
Positions (direct):
Ge1 0.7500 0.7500 0.7500  4 Sc 2.96, 4 Na 2.96
Na1 0.0000 0.0000 0.0000  4 Ge 2.96, 4 Ag 2.96
Sc1 0.5000 0.5000 0.5000  4 Ag 2.96, 4 Ge 2.96
Ag1 0.2500 0.2500 0.2500  4 Na 2.96, 4 Sc 2.96

Its total energy is -4.010 eV/atom. The value obtained for the calculated volume is 79.5 Å³ per cell. The calculation puts the total moment at 0.000 μB per cell. The density comes out at 5.19 g/cm³.

---

## SrB (PBE-GGA)

Data for a relaxed structure of SrB.

Cell lengths 3.2703, 7.6229, 7.6916 Å; angles 90.00, 90.00, 90.00 degrees
Closest atoms and distances in Å follow each position.
Positions (direct):
B1 0.5000 0.2500 0.7271  2 B 1.67
B2 0.0000 0.2500 0.7729  2 B 1.67
B3 0.5000 0.7500 0.2729  2 B 1.67
B4 0.0000 0.7500 0.2271  2 B 1.67
Sr1 0.5000 0.0000 0.0000  6 B 2.83-3.06
Sr2 0.0000 0.5000 0.5000  6 B 2.83-3.06
Sr3 0.0000 0.0000 0.5000  6 B 2.83-3.06
Sr4 0.5000 0.5000 0.0000  6 B 2.83-3.06

Its total energy is -4.154 eV/atom. The value obtained for the calculated volume is 191.7 Å³ per cell. The calculation puts the total moment at 0.002 μB per cell. The density comes out at 3.41 g/cm³.

---

## Sc3Ta (PBE-GGA)

Data for a relaxed structure of Sc3Ta.

Cell lengths 4.9952, 4.9952, 4.9952 Å; angles 60.00, 60.00, 60.00 degrees
Closest atoms and distances in Å follow each position.
Positions (direct):
Sc1 0.2500 0.2500 0.2500  8 Sc 3.06
Sc2 0.0000 0.0000 0.0000  4 Ta 3.06, 4 Sc 3.06
Sc3 0.5000 0.5000 0.5000  4 Sc 3.06, 4 Ta 3.06
Ta1 0.7500 0.7500 0.7500  8 Sc 3.06

Its total energy is -7.440 eV/atom. The value obtained for the calculated volume is 88.1 Å³ per cell. The calculation puts the total moment at 2.176 μB per cell. The density comes out at 5.95 g/cm³.

---

## TlGa2PO6 (PBE-GGA)

Data for a relaxed structure of TlGa2PO6.

Cell lengths 6.0804, 7.3419, 7.3419 Å; angles 108.54, 77.63, 77.63 degrees
Closest atoms and distances in Å follow each position.
Positions (direct):
O1 0.5539 0.5821 0.6751  3 Ga 1.89-2.08
O2 0.9784 0.6632 0.2188  1 P 1.54
O3 0.7450 0.7315 0.9853  1 P 1.56
O4 0.4461 0.4179 0.3249  3 Ga 1.89-2.08
O5 0.2450 0.9853 0.7315  1 P 1.56
O6 0.7550 0.0147 0.2685  1 P 1.56
O7 0.2550 0.2685 0.0147  1 P 1.56
O8 0.9461 0.3249 0.4179  3 Ga 1.89-2.08
O9 0.5216 0.7812 0.3368  1 P 1.54
O10 0.0539 0.6751 0.5821  3 Ga 1.89-2.08
O11 0.0216 0.3368 0.7812  1 P 1.54
O12 0.4784 0.2188 0.6632  1 P 1.54
Tl1 0.2500 0.9022 0.0978  8 O 2.82-3.10
Tl2 0.7500 0.0978 0.9022  8 O 2.82-3.10
Ga1 0.8670 0.5453 0.7030  5 O 1.89-2.08
Ga2 0.1330 0.4547 0.2970  5 O 1.89-2.08
Ga3 0.3670 0.7030 0.5453  5 O 1.89-2.08
Ga4 0.6330 0.2970 0.4547  5 O 1.89-2.08
P1 0.2500 0.2073 0.7927  4 O 1.54-1.56
P2 0.7500 0.7927 0.2073  4 O 1.54-1.56

The uncorrected formation energy is -1.806 eV/atom. The value obtained for the calculated volume is 289.1 Å³ per cell. The calculation puts the total moment at 0.000 μB per cell. The density comes out at 5.41 g/cm³.

---

## Tb4PrEr6 (PBE-GGA)

Data for a relaxed structure of Tb4PrEr6.

Cell lengths 7.7193, 7.7193, 8.4113 Å; angles 117.31, 117.31, 90.00 degrees
Closest atoms and distances in Å follow each position.
Positions (direct):
Tb1 0.2418 0.2418 0.1486  3 Er 3.03-3.21, 2 Tb 3.21
Tb2 0.0932 0.7582 0.8514  3 Er 3.03-3.21, 2 Tb 3.21
Tb3 0.7582 0.0932 0.8514  3 Er 3.03-3.21, 2 Tb 3.21
Tb4 0.9068 0.9068 0.1486  3 Er 3.03-3.21, 2 Tb 3.21
Er1 0.5684 0.5684 0.6281  4 Tb 3.21-3.55
Er2 0.0000 0.5000 0.0000  4 Tb 3.03
Er3 0.4316 0.9404 0.3719  4 Tb 3.21-3.55
Er4 0.0596 0.0596 0.6281  4 Tb 3.21-3.55
Er5 0.5000 0.0000 0.0000  4 Tb 3.03
Er6 0.9404 0.4316 0.3719  4 Tb 3.21-3.55
Pr1 0.5000 0.5000 0.0000  8 Er 3.66-3.86, 4 Tb 3.75

Its total energy is -4.153 eV/atom. The value obtained for the calculated volume is 381.3 Å³ per cell. The calculation puts the total moment at 0.008 μB per cell. The density comes out at 7.75 g/cm³.

---

## Tb3Sm2Tl7 (PBE-GGA)

Data for a relaxed structure of Tb3Sm2Tl7.

Cell lengths 5.4487, 5.3061, 13.1022 Å; angles 101.68, 90.00, 90.00 degrees
Closest atoms and distances in Å follow each position.
Positions (direct):
Sm1 0.0000 0.8493 0.6987  7 Tl 3.20-3.31
Sm2 0.0000 0.1507 0.3013  7 Tl 3.20-3.31
Tl1 0.5000 0.9206 0.8411  4 Tb 3.24-3.35, 2 Sm 3.28, 2 Tl 3.40
Tl2 0.0000 0.0000 0.0000  8 Tl 3.26-3.40
Tl3 0.0000 0.2794 0.5588  2 Tl 3.05, 3 Sm 3.20-3.30, 2 Tb 3.24
Tl4 0.5000 0.0794 0.1589  4 Tb 3.24-3.35, 2 Sm 3.28, 2 Tl 3.40
Tl5 0.0000 0.4261 0.8523  2 Tl 3.26, 2 Sm 3.31, 4 Tb 3.32-3.38
Tl6 0.0000 0.5739 0.1477  2 Tl 3.26, 2 Sm 3.31, 4 Tb 3.32-3.38
Tl7 0.0000 0.7206 0.4412  2 Tl 3.05, 3 Sm 3.20-3.30, 2 Tb 3.24
Tb1 0.5000 0.6519 0.3038  6 Tl 3.24-3.38
Tb2 0.5000 0.3481 0.6962  6 Tl 3.24-3.38
Tb3 0.5000 0.5000 0.0000  8 Tl 3.32-3.35

Its total energy is -3.432 eV/atom. The value obtained for the calculated volume is 371.0 Å³ per cell. The calculation puts the total moment at 0.000 μB per cell. The density comes out at 9.88 g/cm³.

---

## AlGeF3 (PBE-GGA)

Data for a relaxed structure of AlGeF3.

Cell lengths 4.0335, 4.0335, 4.0335 Å; angles 90.00, 90.00, 90.00 degrees
Closest atoms and distances in Å follow each position.
Positions (direct):
F1 0.5000 0.0000 0.0000  2 Al 2.02
F2 0.0000 0.5000 0.0000  2 Al 2.02
F3 0.0000 0.0000 0.5000  2 Al 2.02
Ge1 0.5000 0.5000 0.5000  12 F 2.85
Al1 0.0000 0.0000 0.0000  6 F 2.02

The uncorrected formation energy is -1.775 eV/atom. The value obtained for the calculated volume is 65.6 Å³ per cell. The calculation puts the total moment at 0.000 μB per cell. The density comes out at 3.96 g/cm³.